Entry 1:
# OsWAu | the Alexandria database | PBE-GGA | optimized geometry
data_OsWAu
_chemical_formula_sum 'Os1 W1 Au1'
_cell_length_a 7.586
_cell_length_b 7.377
_cell_length_c 2.742
_cell_angle_alpha 83.77
_cell_angle_beta 75.17
_cell_angle_gamma 21.06
_space_group_name_H-M_alt 'P 1'
_space_group_IT_number 1
loop_
_space_group_symop_operation_xyz
'x,y,z'
loop_
_atom_site_label
_atom_site_type_symbol
_atom_site_fract_x
_atom_site_fract_y
_atom_site_fract_z
Os1 Os 0.324 0.324 0.676
Au1 Au 0.001 0.001 0.999
W1 W 0.675 0.675 0.325
# - Formation enthalpy at 0 K: 0.494 eV/atom
# - D(E_F): 3.30 states/eV per cell
# - Total moment: 0.00 μB/cell
# - Uncorrected energy: -8.66 eV/atom

---

Entry 2:
# OsWAu2 | the Alexandria database | PBE-GGA | optimized geometry
data_OsWAu2
_chemical_formula_sum 'Os1 W1 Au2'
_cell_length_a 2.771
_cell_length_b 2.771
_cell_length_c 9.725
_cell_angle_alpha 90.00
_cell_angle_beta 90.00
_cell_angle_gamma 115.30
_space_group_name_H-M_alt 'P 1'
_space_group_IT_number 1
loop_
_space_group_symop_operation_xyz
'x,y,z'
loop_
_atom_site_label
_atom_site_type_symbol
_atom_site_fract_x
_atom_site_fract_y
_atom_site_fract_z
Au1 Au 0.500 0.500 0.256
Au2 Au 0.000 0.000 0.993
Os1 Os 0.000 0.000 0.516
W1 W 0.500 0.500 0.735
# - Formation enthalpy at 0 K: 0.375 eV/atom
# - D(E_F): 3.09 states/eV per cell
# - Total moment: 0.00 μB/cell
# - Uncorrected energy: -7.31 eV/atom

---

Entry 3:
# Os2WAu | the Alexandria database | PBE-GGA | optimized geometry
data_Os2WAu
_chemical_formula_sum 'Os2 W1 Au1'
_cell_length_a 9.522
_cell_length_b 9.522
_cell_length_c 9.522
_cell_angle_alpha 16.79
_cell_angle_beta 16.79
_cell_angle_gamma 16.79
_space_group_name_H-M_alt 'P 1'
_space_group_IT_number 1
loop_
_space_group_symop_operation_xyz
'x,y,z'
loop_
_atom_site_label
_atom_site_type_symbol
_atom_site_fract_x
_atom_site_fract_y
_atom_site_fract_z
Os1 Os 0.995 0.995 0.995
Au1 Au 0.750 0.750 0.750
Os2 Os 0.505 0.505 0.505
W1 W 0.250 0.250 0.250
# - Formation enthalpy at 0 K: 0.270 eV/atom
# - D(E_F): 2.49 states/eV per cell
# - Total moment: 0.00 μB/cell
# - Uncorrected energy: -9.40 eV/atom

---

Entry 4:
# Os2WAu | the Alexandria database | PBE-GGA | optimized geometry
data_Os2WAu
_chemical_formula_sum 'Os2 W1 Au1'
_cell_length_a 9.413
_cell_length_b 9.413
_cell_length_c 9.413
_cell_angle_alpha 17.05
_cell_angle_beta 17.05
_cell_angle_gamma 17.05
_space_group_name_H-M_alt 'P 1'
_space_group_IT_number 1
loop_
_space_group_symop_operation_xyz
'x,y,z'
loop_
_atom_site_label
_atom_site_type_symbol
_atom_site_fract_x
_atom_site_fract_y
_atom_site_fract_z
W1 W 0.504 0.504 0.504
Os1 Os 0.252 0.252 0.252
Os2 Os 0.995 0.995 0.995
Au1 Au 0.749 0.749 0.749
# - Formation enthalpy at 0 K: 0.338 eV/atom
# - D(E_F): 5.07 states/eV per cell
# - Total moment: 0.00 μB/cell
# - Uncorrected energy: -9.33 eV/atom

---

Entry 5:
# OsWAu | the Alexandria database | PBE-GGA | optimized geometry
data_OsWAu
_chemical_formula_sum 'Os1 W1 Au1'
_cell_length_a 6.184
_cell_length_b 6.184
_cell_length_c 6.184
_cell_angle_alpha 152.93
_cell_angle_beta 152.93
_cell_angle_gamma 38.65
_space_group_name_H-M_alt 'P 1'
_space_group_IT_number 1
loop_
_space_group_symop_operation_xyz
'x,y,z'
loop_
_atom_site_label
_atom_site_type_symbol
_atom_site_fract_x
_atom_site_fract_y
_atom_site_fract_z
Au1 Au 0.000 0.000 0.000
W1 W 0.320 0.320 0.000
Os1 Os 0.680 0.680 0.000
# - Formation enthalpy at 0 K: 0.316 eV/atom
# - D(E_F): 2.39 states/eV per cell
# - Total moment: 0.00 μB/cell
# - Uncorrected energy: -8.84 eV/atom

---

Entry 6:
# Os2WAu | the Alexandria database | PBE-GGA | optimized geometry
data_Os2WAu
_chemical_formula_sum 'Os2 W1 Au1'
_cell_length_a 4.905
_cell_length_b 4.905
_cell_length_c 4.905
_cell_angle_alpha 133.19
_cell_angle_beta 133.20
_cell_angle_gamma 68.35
_space_group_name_H-M_alt 'P 1'
_space_group_IT_number 1
loop_
_space_group_symop_operation_xyz
'x,y,z'
loop_
_atom_site_label
_atom_site_type_symbol
_atom_site_fract_x
_atom_site_fract_y
_atom_site_fract_z
W1 W 0.500 0.500 0.000
Os1 Os 0.000 0.000 0.000
Au1 Au 0.250 0.750 0.500
Os2 Os 0.750 0.250 0.500
# - Formation enthalpy at 0 K: 0.425 eV/atom
# - D(E_F): 4.16 states/eV per cell
# - Total moment: 0.00 μB/cell
# - Uncorrected energy: -9.25 eV/atom

---

Entry 7:
# Os2WAu | the Alexandria database | PBE-GGA | optimized geometry
data_Os2WAu
_chemical_formula_sum 'Os2 W1 Au1'
_cell_length_a 5.584
_cell_length_b 5.584
_cell_length_c 5.584
_cell_angle_alpha 150.67
_cell_angle_beta 129.99
_cell_angle_gamma 59.04
_space_group_name_H-M_alt 'P 1'
_space_group_IT_number 1
loop_
_space_group_symop_operation_xyz
'x,y,z'
loop_
_atom_site_label
_atom_site_type_symbol
_atom_site_fract_x
_atom_site_fract_y
_atom_site_fract_z
W1 W 0.750 0.250 0.500
Os1 Os 0.526 0.526 0.000
Os2 Os 0.974 0.974 0.000
Au1 Au 0.250 0.750 0.500
# - Formation enthalpy at 0 K: 0.529 eV/atom
# - D(E_F): 2.64 states/eV per cell
# - Total moment: 0.00 μB/cell
# - Uncorrected energy: -9.14 eV/atom

---

Entry 8:
# OsWAu2 | the Alexandria database | PBE-GGA | optimized geometry
data_OsWAu2
_chemical_formula_sum 'Os1 W1 Au2'
_cell_length_a 2.848
_cell_length_b 4.264
_cell_length_c 5.382
_cell_angle_alpha 90.00
_cell_angle_beta 90.00
_cell_angle_gamma 90.00
_space_group_name_H-M_alt 'P 1'
_space_group_IT_number 1
loop_
_space_group_symop_operation_xyz
'x,y,z'
loop_
_atom_site_label
_atom_site_type_symbol
_atom_site_fract_x
_atom_site_fract_y
_atom_site_fract_z
W1 W 0.500 0.500 0.750
Os1 Os 0.500 0.500 0.250
Au1 Au 0.000 0.000 0.999
Au2 Au 0.000 0.000 0.501
# - Formation enthalpy at 0 K: 0.595 eV/atom
# - D(E_F): 3.05 states/eV per cell
# - Total moment: 0.00 μB/cell
# - Uncorrected energy: -7.09 eV/atom

---

Entry 9:
# Os3WAu | the Alexandria database | PBE-GGA | optimized geometry
data_Os3WAu
_chemical_formula_sum 'Os3 W1 Au1'
_cell_length_a 4.704
_cell_length_b 4.704
_cell_length_c 4.704
_cell_angle_alpha 90.00
_cell_angle_beta 90.00
_cell_angle_gamma 90.00
_space_group_name_H-M_alt 'P 1'
_space_group_IT_number 1
loop_
_space_group_symop_operation_xyz
'x,y,z'
loop_
_atom_site_label
_atom_site_type_symbol
_atom_site_fract_x
_atom_site_fract_y
_atom_site_fract_z
Au1 Au 0.000 0.000 0.000
Os1 Os 0.000 0.000 0.500
Os2 Os 0.000 0.500 0.000
W1 W 0.500 0.500 0.500
Os3 Os 0.500 0.000 0.000
# - Formation enthalpy at 0 K: 3.326 eV/atom
# - D(E_F): 10.12 states/eV per cell
# - Total moment: 0.00 μB/cell
# - Uncorrected energy: -6.66 eV/atom

---

Entry 10:
# Os2WAu | the Alexandria database | PBE-GGA | optimized geometry
data_Os2WAu
_chemical_formula_sum 'Os4 W2 Au2'
_cell_length_a 7.274
_cell_length_b 7.274
_cell_length_c 5.804
_cell_angle_alpha 51.19
_cell_angle_beta 51.19
_cell_angle_gamma 90.00
_space_group_name_H-M_alt 'P 1'
_space_group_IT_number 1
loop_
_space_group_symop_operation_xyz
'x,y,z'
loop_
_atom_site_label
_atom_site_type_symbol
_atom_site_fract_x
_atom_site_fract_y
_atom_site_fract_z
Os1 Os 0.375 0.417 0.750
W1 W 0.500 0.500 0.000
Au1 Au 0.000 0.000 0.000
W2 W 0.250 0.750 0.500
Os2 Os 0.583 0.125 0.250
Os3 Os 0.875 0.833 0.750
Au2 Au 0.750 0.250 0.500
Os4 Os 0.167 0.625 0.250
# - Formation enthalpy at 0 K: 0.927 eV/atom
# - D(E_F): 8.46 states/eV per cell
# - Total moment: 0.00 μB/cell
# - Uncorrected energy: -8.75 eV/atom

---

Entry 11:
# Os2WAu | the Alexandria database | PBE-GGA | optimized geometry
data_Os2WAu
_chemical_formula_sum 'Os2 W1 Au1'
_cell_length_a 2.723
_cell_length_b 2.723
_cell_length_c 9.643
_cell_angle_alpha 90.00
_cell_angle_beta 90.00
_cell_angle_gamma 116.66
_space_group_name_H-M_alt 'P 1'
_space_group_IT_number 1
loop_
_space_group_symop_operation_xyz
'x,y,z'
loop_
_atom_site_label
_atom_site_type_symbol
_atom_site_fract_x
_atom_site_fract_y
_atom_site_fract_z
Os1 Os 0.000 0.000 0.014
W1 W 0.000 0.000 0.486
Os2 Os 0.500 0.500 0.250
Au1 Au 0.500 0.500 0.749
# - Formation enthalpy at 0 K: 0.615 eV/atom
# - D(E_F): 5.11 states/eV per cell
# - Total moment: 0.00 μB/cell
# - Uncorrected energy: -9.06 eV/atom

---

Entry 12:
# OsWAu2 | the Alexandria database | PBE-GGA | optimized geometry
data_OsWAu2
_chemical_formula_sum 'Os1 W1 Au2'
_cell_length_a 5.139
_cell_length_b 5.139
_cell_length_c 5.139
_cell_angle_alpha 135.73
_cell_angle_beta 135.73
_cell_angle_gamma 64.40
_space_group_name_H-M_alt 'P 1'
_space_group_IT_number 1
loop_
_space_group_symop_operation_xyz
'x,y,z'
loop_
_atom_site_label
_atom_site_type_symbol
_atom_site_fract_x
_atom_site_fract_y
_atom_site_fract_z
W1 W 0.750 0.250 0.500
Os1 Os 0.250 0.750 0.500
Au1 Au 0.500 0.500 0.000
Au2 Au 0.000 0.000 0.000
# - Formation enthalpy at 0 K: 0.541 eV/atom
# - D(E_F): 2.35 states/eV per cell
# - Total moment: 0.00 μB/cell
# - Uncorrected energy: -7.14 eV/atom

---

Number 11 is which compound?
Os2WAu